[1]
A geometry-optimized GeHSe2 structure. Source: Alexandria, functional GGA-PBE.

Results
**V**: 16.623 Å³/atom
**Calculated total energy**: -3.14 eV/atom
**Magnetic moment**: 0.0 μB/cell
**SG**: R-3m

Unit cell a=8.8869 b=8.8869 c=8.8869 alpha=19.22 beta=19.22 gamma=19.22
Last column: nearest neighbours and their distance in Å.
Sites, in units of the cell vectors:
H1 0.5000 0.5000 0.5000  6 Se 2.30
Ge1 0.0000 0.0000 0.0000  2 Se 2.82, 6 Ge 2.97
Se1 0.8923 0.8923 0.8923  3 H 2.30
Se2 0.1077 0.1077 0.1077  3 H 2.30

***

[2]
A geometry-optimized Na2MnSb structure. Source: Alexandria, functional GGA-PBE.

Results
**V**: 39.859 Å³/atom
**Formation energy without anion corrections**: 0.610 eV per atom
**Magnetic moment**: 0.0 μB/cell
**SG**: I-42d

Unit cell a=11.4879 b=11.4879 c=8.4749 alpha=47.33 beta=47.33 gamma=90.00
Last column: nearest neighbours and their distance in Å.
Sites, in units of the cell vectors:
Sb1 0.0000 0.0000 0.0000  2 Mn 2.42
Sb2 0.7500 0.2500 0.5000  2 Mn 2.42
Mn1 0.5000 0.5000 0.0000  2 Sb 2.42
Mn2 0.2500 0.7500 0.5000  2 Sb 2.42
Na1 0.4034 0.1250 0.2500  2 Mn 2.95
Na2 0.3466 0.6250 0.2500  2 Mn 2.95
Na3 0.3750 0.5966 0.7500  2 Mn 2.95
Na4 0.8750 0.6534 0.7500  2 Mn 2.95

***

Q: Number 2 is which compound?
A: Na2MnSb